Material: AlCdRh2
Method: DFT, meta-GGA SCAN
State: single point on PBEsol structure

Cell and atoms, written as POSCAR:
```
AlCdRh2
1.0
-0.716 -2.177 1.710
-0.047 -1.757 -2.255
7.279 -1.558 1.064
Rh Al Cd
2 1 1
direct
0.000 0.000 0.020 Rh
0.500 0.500 0.262 Rh
0.000 0.000 0.455 Al
0.500 0.500 0.764 Cd
```

Results
The energy of formation is -0.266 eV per atom. As for the crystal system: tetragonal.

***

Material: AlCd2Rh
Method: DFT, meta-GGA SCAN
State: single point on PBEsol structure

Cell and atoms, written as POSCAR:
```
AlCd2Rh
1.0
3.143 0.000 0.000
0.000 3.951 0.000
0.000 0.000 5.442
Rh Al Cd
1 1 2
direct
0.500 0.500 0.000 Rh
0.500 0.500 0.500 Al
0.000 0.000 0.756 Cd
0.000 0.000 0.244 Cd
```

Results
The energy of formation is -0.123 eV per atom. As for the crystal system: orthorhombic.

***

Material: AlCdRh2Se
Method: DFT, meta-GGA SCAN
State: single point on PBEsol structure

Cell and atoms, written as POSCAR:
```
AlCdRh2Se
1.0
4.507 0.000 0.000
0.000 4.507 0.000
0.000 0.000 4.647
Rh Al Se Cd
2 1 1 1
direct
0.000 0.500 0.000 Rh
0.500 0.000 0.000 Rh
0.000 0.000 0.000 Al
0.000 0.000 0.500 Se
0.500 0.500 0.500 Cd
```

Results
The raw formation energy comes out at 0.44 eV per atom. As for the crystal system: tetragonal.

***

Material: TaAl2CdRh
Method: DFT, meta-GGA SCAN
State: single point on PBEsol structure

Cell and atoms, written as POSCAR:
```
TaAl2CdRh
1.0
-0.732 4.349 -2.017
-3.123 1.116 3.538
3.821 1.926 2.765
Cd Rh Al Ta
1 1 2 1
direct
0.000 0.000 0.500 Cd
0.500 0.500 0.500 Rh
0.000 0.500 0.000 Al
0.500 0.000 0.000 Al
0.000 0.000 0.000 Ta
```

Results
The energy of formation is 1.504 eV per atom. As for the crystal system: tetragonal.

***

Material: Al3CdRu
Method: DFT, meta-GGA SCAN
State: single point on PBEsol structure

Cell and atoms, written as POSCAR:
```
Al3CdRu
1.0
-2.081 1.722 3.907
-4.260 -0.545 -2.029
-0.287 -4.393 1.783
Ru Al Cd
1 3 1
direct
0.500 0.500 0.500 Ru
0.000 0.500 0.000 Al
0.000 0.000 0.500 Al
0.500 0.000 0.000 Al
0.000 0.000 0.000 Cd
```

Results
The energy of formation is 1.383 eV per atom. As for the crystal system: cubic.

***

Material: AlCdRu
Method: DFT, meta-GGA SCAN
State: single point on PBEsol structure

Cell and atoms, written as POSCAR:
```
AlCdRu
1.0
3.138 0.000 0.000
0.000 3.138 0.000
-1.569 -1.569 4.800
Ru Al Cd
1 1 1
direct
0.358 0.358 0.716 Ru
0.971 0.971 0.942 Al
0.671 0.671 0.342 Cd
```

Results
The energy of formation is -0.258 eV per atom. As for the crystal system: tetragonal.

***

Material: AlCd2Ru
Method: DFT, meta-GGA SCAN
State: single point on PBEsol structure

Cell and atoms, written as POSCAR:
```
AlCd2Ru
1.0
3.530 0.000 0.000
0.000 3.530 0.000
0.000 0.000 5.474
Ru Al Cd
1 1 2
direct
0.500 0.500 0.000 Ru
0.500 0.500 0.500 Al
0.000 0.000 0.755 Cd
0.000 0.000 0.245 Cd
```

Results
The energy of formation is 0.197 eV per atom. As for the crystal system: tetragonal.

***

Material: Al2CdRu
Method: DFT, meta-GGA SCAN
State: single point on PBEsol structure

Cell and atoms, written as POSCAR:
```
Al2CdRu
1.0
3.956 0.000 0.000
0.000 3.956 0.000
-1.978 -1.978 3.877
Ru Al Cd
1 2 1
direct
0.000 0.000 0.000 Ru
0.750 0.250 0.500 Al
0.250 0.750 0.500 Al
0.500 0.500 0.000 Cd
```

Results
The energy of formation is -0.258 eV per atom. As for the crystal system: tetragonal.

***

Material: AlCd2Ru
Method: DFT, meta-GGA SCAN
State: single point on PBEsol structure

Cell and atoms, written as POSCAR:
```
AlCd2Ru
1.0
-0.216 0.628 -3.326
-4.363 -0.624 0.166
1.687 4.329 2.437
Ru Al Cd
1 1 2
direct
0.478 0.477 0.957 Ru
0.774 0.275 0.548 Al
0.009 0.008 0.018 Cd
0.239 0.739 0.477 Cd
```

Results
The energy of formation is -0.028 eV per atom. As for the crystal system: monoclinic.

***

Material: AlCd2Ru
Method: DFT, meta-GGA SCAN
State: single point on PBEsol structure

Cell and atoms, written as POSCAR:
```
AlCd2Ru
1.0
2.901 0.000 0.000
1.451 2.512 0.000
1.451 0.837 9.453
Ru Al Cd
1 1 2
direct
0.500 0.500 0.500 Ru
0.000 0.000 0.000 Al
0.246 0.246 0.262 Cd
0.754 0.754 0.738 Cd
```

Results
The energy of formation is 0.292 eV per atom. As for the crystal system: trigonal.

***

Material: Al2CdS4
Method: DFT, meta-GGA SCAN
State: single point on PBEsol structure

Cell and atoms, written as POSCAR:
```
Al2CdS4
1.0
5.525 0.000 0.000
-2.762 5.763 -0.017
0.000 2.662 4.841
S Al Cd
4 2 1
direct
0.094 0.727 0.909 S
0.632 0.727 0.365 S
0.365 0.273 0.094 S
0.909 0.273 0.632 S
0.250 0.500 0.250 Al
0.000 0.000 0.000 Al
0.500 0.000 0.500 Cd
```

Results
The raw formation energy comes out at -1.15 eV per atom. As for the crystal system: tetragonal.

***

Material: AlCd2S
Method: DFT, meta-GGA SCAN
State: single point on PBEsol structure

Cell and atoms, written as POSCAR:
```
AlCd2S
1.0
-1.594 2.576 -3.813
-2.846 -2.106 -3.343
-4.702 1.226 -0.316
S Al Cd
1 1 2
direct
0.500 0.500 0.500 S
0.000 0.000 0.000 Al
0.250 0.250 0.250 Cd
0.750 0.750 0.750 Cd
```

Results
The raw formation energy comes out at 0.34 eV per atom. As for the crystal system: cubic.

***

Material: Al2CdS4
Method: DFT, meta-GGA SCAN
State: single point on PBEsol structure

Cell and atoms, written as POSCAR:
```
Al2CdS4
1.0
-1.322 6.407 -3.116
-5.134 4.348 2.693
1.856 6.130 3.390
S Al Cd
8 4 2
direct
0.389 0.389 0.389 S
0.418 0.861 0.861 S
0.832 0.389 0.389 S
0.861 0.861 0.861 S
0.861 0.861 0.418 S
0.861 0.418 0.861 S
0.389 0.389 0.832 S
0.389 0.832 0.389 S
0.625 0.125 0.625 Al
0.625 0.625 0.125 Al
0.125 0.625 0.625 Al
0.625 0.625 0.625 Al
0.000 0.000 0.000 Cd
0.250 0.250 0.250 Cd
```

Results
The raw formation energy comes out at -1.13 eV per atom. As for the crystal system: cubic.

***

Material: Al2CdSb2
Method: DFT, meta-GGA SCAN
State: single point on PBEsol structure

Cell and atoms, written as POSCAR:
```
Al2CdSb2
1.0
-1.622 2.597 -2.732
-1.370 -3.177 -2.207
-4.818 0.361 6.287
Sb Al Cd
2 2 1
direct
0.378 0.378 0.756 Sb
0.622 0.622 0.244 Sb
0.250 0.750 0.500 Al
0.750 0.250 0.500 Al
0.000 0.000 0.000 Cd
```

Results
The raw formation energy comes out at 0.12 eV per atom. As for the crystal system: tetragonal.

***

Material: AlCdSb2
Method: DFT, meta-GGA SCAN
State: single point on PBEsol structure

Cell and atoms, written as POSCAR:
```
AlCdSb2
1.0
-4.316 -0.472 2.335
-1.418 -2.015 -3.027
1.538 -4.107 2.014
Sb Al Cd
2 1 1
direct
0.000 0.000 0.000 Sb
0.500 0.000 0.500 Sb
0.500 0.500 0.000 Al
0.000 0.500 0.500 Cd
```

Results
The raw formation energy comes out at 0.23 eV per atom. The energy above the most stable polymorph in this dataset is 111.0 meV per atom. As for the crystal system: orthorhombic.

***

Material: Al2CdSb
Method: DFT, meta-GGA SCAN
State: single point on PBEsol structure

Cell and atoms, written as POSCAR:
```
Al2CdSb
1.0
4.596 0.000 0.000
0.000 3.895 0.000
0.000 0.000 4.680
Sb Al Cd
1 2 1
direct
0.000 0.500 0.500 Sb
0.000 0.000 0.000 Al
0.500 0.000 0.500 Al
0.500 0.500 0.000 Cd
```

Results
The raw formation energy comes out at 0.21 eV per atom. The energy above the most stable polymorph in this dataset is 0.0 meV per atom. As for the crystal system: orthorhombic.

***

Material: AlCdSb
Method: DFT, meta-GGA SCAN
State: single point on PBEsol structure

Cell and atoms, written as POSCAR:
```
AlCdSb
1.0
3.000 0.000 0.000
0.000 5.097 0.000
0.000 -2.549 4.414
Sb Al Cd
1 1 1
direct
0.167 0.333 0.667 Sb
0.166 0.000 0.000 Al
0.666 0.667 0.333 Cd
```

Results
The raw formation energy comes out at 0.24 eV per atom. As for the crystal system: hexagonal.

***

Material: AlCd3Sb
Method: DFT, meta-GGA SCAN
State: single point on PBEsol structure

Cell and atoms, written as POSCAR:
```
AlCd3Sb
1.0
5.102 0.000 0.000
0.000 5.102 0.000
0.000 0.000 5.102
Sb Al Cd
1 1 3
direct
0.500 0.500 0.500 Sb
0.000 0.000 0.000 Al
0.000 0.500 0.000 Cd
0.000 0.000 0.500 Cd
0.500 0.000 0.000 Cd
```

Results
The raw formation energy comes out at 0.49 eV per atom. The energy above the most stable polymorph in this dataset is 0.0 meV per atom. As for the crystal system: cubic.

***

Material: Al2CdSb
Method: DFT, meta-GGA SCAN
State: single point on PBEsol structure

Cell and atoms, written as POSCAR:
```
Al2CdSb
1.0
4.927 0.000 0.000
2.464 4.267 0.000
2.464 1.422 4.023
Sb Al Cd
1 2 1
direct
0.500 0.500 0.500 Sb
0.250 0.250 0.250 Al
0.750 0.750 0.750 Al
0.000 0.000 0.000 Cd
```

Results
The raw formation energy comes out at 0.26 eV per atom. The energy above the most stable polymorph in this dataset is 47.8 meV per atom. As for the crystal system: cubic.

***

Material: AlCdSb2
Method: DFT, meta-GGA SCAN
State: single point on PBEsol structure

Cell and atoms, written as POSCAR:
```
AlCdSb2
1.0
-2.971 1.397 -2.058
-2.396 -3.347 1.186
0.854 3.931 5.082
Sb Al Cd
2 1 1
direct
0.813 0.813 0.626 Sb
0.187 0.187 0.374 Sb
0.500 0.000 0.000 Al
0.000 0.500 0.000 Cd
```

Results
The raw formation energy comes out at 0.14 eV per atom. The energy above the most stable polymorph in this dataset is 15.8 meV per atom. As for the crystal system: orthorhombic.

***

| no. | total magnetization (Bohr magnetons per cell) |
| --- | --- |
| 1 | 0.647 |
| 2 | 0.000 |
| 3 | 0.001 |
| 4 | 1.250 |
| 5 | 1.580 |
| 6 | 0.000 |
| 7 | 0.000 |
| 8 | 0.000 |
| 9 | 0.000 |
| 10 | 1.166 |
| 11 | 0.001 |
| 12 | 0.000 |
| 13 | 0.001 |
| 14 | 0.000 |
| 15 | 0.000 |
| 16 | 0.000 |
| 17 | 0.001 |
| 18 | 0.000 |
| 19 | 0.000 |
| 20 | 0.000 |